VASP calculation (PBE-GGA) on CrRu2Rh4 after structural relaxation.

Its mass density is 10.4 g/cm³. Its total DFT energy (no corrections) is -112.1 eV for the cell shown. For the energy of formation from the pure elements, the calculation gives 0.222 eV/atom.

It has space group C2/m (No. 12), with a = 7.4000 Å, b = 5.3740 Å, c = 5.3445 Å, α = 90.00°, β = 90.10° and γ = 90.00°. Symmetry generates all atoms from Cr at (0.0000, 0.0000, 0.0000), Ru at (0.0000, 0.5000, 0.0000), Ru at (0.0000, 0.5000, 0.5000) and Rh at (0.2502, 0.2500, 0.2549).



VASP calculation (PBE-GGA) on Bi3Au2 after structural relaxation.

Its mass density is 11.8 g/cm³. As for the relative energy among the computed polymorphs: 0.09 eV per formula unit. Its total DFT energy (no corrections) is -72.7 eV for the cell shown. For the energy of formation from the pure elements, the calculation gives 0.003 eV/atom.

It has space group C2/c (No. 15), with a = 11.5769 Å, b = 7.9802 Å, c = 7.2075 Å, α = 90.00°, β = 120.00° and γ = 90.00°. Symmetry generates all atoms from Bi at (0.0000, 0.0767, 0.2500), Bi at (0.1763, 0.4377, 0.0637) and Au at (0.0849, 0.2527, 0.6467).



VASP calculation (PBE-GGA) on Co2BiOs after structural relaxation.

Its mass density is 11.5 g/cm³. Its total DFT energy (no corrections) is -101.8 eV for the cell shown. For the energy of formation from the pure elements, the calculation gives 0.970 eV/atom.

It has space group I-42d (No. 122), with a = 4.4553 Å, b = 4.4553 Å, c = 15.0657 Å, α = 90.00°, β = 90.00° and γ = 90.00°. Symmetry generates all atoms from Co at (0.1500, 0.2500, 0.1250), Bi at (0.0000, 0.0000, 0.5000) and Os at (0.0000, 0.0000, 0.0000).



VASP calculation (PBE-GGA) on LiScZnIr after structural relaxation.

Its mass density is 8.2 g/cm³. Its total DFT energy (no corrections) is -81.8 eV for the cell shown. For the energy of formation from the pure elements, the calculation gives -0.516 eV/atom.

It has space group F-43m (No. 216), with a = 6.3061 Å, b = 6.3061 Å, c = 6.3061 Å, α = 90.00°, β = 90.00° and γ = 90.00°. Symmetry generates all atoms from Li at (0.0000, 0.0000, 0.0000), Sc at (0.2500, 0.2500, 0.2500), Zn at (0.2500, 0.2500, 0.7500) and Ir at (0.0000, 0.0000, 0.5000).



VASP calculation (PBE-GGA) on DyTh3C8 after structural relaxation.

Its mass density is 8.8 g/cm³. Its total DFT energy (no corrections) is -206.1 eV for the cell shown. For the energy of formation from the pure elements, the calculation gives -0.201 eV/atom.

It has space group C2/m (No. 12), with a = 8.2781 Å, b = 10.6608 Å, c = 5.3407 Å, α = 90.00°, β = 129.84° and γ = 90.00°. Symmetry generates all atoms from Dy at (0.0000, 0.0000, 0.0000), Th at (0.0000, 0.2473, 0.5000), Th at (0.0000, 0.5000, 0.0000), C at (0.1042, 0.0000, 0.6050), C at (0.1042, 0.2453, 0.1048) and C at (0.1043, 0.5000, 0.6050).



VASP calculation (PBE-GGA) on Pm2PRu after structural relaxation.

Its mass density is 8.0 g/cm³. As for the relative energy among the computed polymorphs: 0.52 eV per formula unit. Its total DFT energy (no corrections) is -104.2 eV for the cell shown. For the energy of formation from the pure elements, the calculation gives -0.466 eV/atom.

It has space group Fm-3m (No. 225), with a = 7.0617 Å, b = 7.0617 Å, c = 7.0617 Å, α = 90.00°, β = 90.00° and γ = 90.00°. Symmetry generates all atoms from Pm at (0.2500, 0.2500, 0.2500), P at (0.0000, 0.0000, 0.0000) and Ru at (0.0000, 0.0000, 0.5000).



VASP calculation (PBE-GGA) on LiSiPb2 after structural relaxation.

Its mass density is 7.6 g/cm³. Its total DFT energy (no corrections) is -28.1 eV for the cell shown. As for the formation energy (no corrections): 0.180 eV per atom.

It has space group C2/m (No. 12), with a = 9.5313 Å, b = 3.6426 Å, c = 5.8417 Å, α = 90.00°, β = 105.47° and γ = 90.00°. Symmetry generates all atoms from Li at (0.0000, 0.0000, 0.0000), Si at (0.0000, 0.5000, 0.5000) and Pb at (0.2448, 0.0000, 0.7478).



VASP calculation (PBE-GGA) on GdYZn2 after structural relaxation.

Its mass density is 6.8 g/cm³. As for the relative energy among the computed polymorphs: 0.00 eV per formula unit. Its total DFT energy (no corrections) is -24.5 eV for the cell shown. For the energy of formation from the pure elements, the calculation gives -0.356 eV/atom.

It has space group P4/mmm (No. 123), with a = 5.0695 Å, b = 5.0695 Å, c = 3.6082 Å, α = 90.00°, β = 90.00° and γ = 90.00°. Symmetry generates all atoms from Gd at (0.0000, 0.0000, 0.0000), Y at (0.5000, 0.5000, 0.0000) and Zn at (0.0000, 0.5000, 0.5000).